[1]
DFT (PBE) results for a relaxed Ce3HoPb4 crystal.

Values from the calculation:
- ρ: 10.05 g cm⁻³
- Calculated volume: 233.7 Å³ per cell
- Spin magnetization: 0.47 μB per atom
- E: -5.05 eV per atom
- Space-group type: I4/mmm, No. 139

abc: 5.0826 5.0826 9.7335
angles: 105.13 105.13 90.00
Closest atoms and distances in Å follow each position.
Sites, in units of the cell vectors:
Pb1 0.8769 0.8769 0.7539  6 Ce 3.38-3.43, 2 Ho 3.38, 4 Pb 3.59
Pb2 0.3769 0.3770 0.7539  6 Ce 3.38-3.43, 2 Ho 3.38, 4 Pb 3.59
Pb3 0.1231 0.1231 0.2461  6 Ce 3.38-3.43, 2 Ho 3.38, 4 Pb 3.59
Pb4 0.6231 0.6230 0.2461  6 Ce 3.38-3.43, 2 Ho 3.38, 4 Pb 3.59
Ho1 0.5000 0.0000 0.0000  8 Pb 3.38, 4 Ce 3.59
Ce1 0.0000 0.5000 0.0000  8 Pb 3.38, 4 Ho 3.59
Ce2 0.7493 0.2494 0.4986  8 Pb 3.42-3.43, 4 Ce 3.59
Ce3 0.2507 0.7506 0.5014  8 Pb 3.42-3.43, 4 Ce 3.59



[2]
DFT (PBE) results for a relaxed Ce2HoPb2 crystal.

Values from the calculation:
- ρ: 9.78 g cm⁻³
- Calculated volume: 145.9 Å³ per cell
- Spin magnetization: 0.28 μB per atom
- E: -5.15 eV per atom
- Space-group type: C2/m, No. 12

abc: 4.6331 5.5741 6.6288
angles: 81.69 69.55 65.44
Closest atoms and distances in Å follow each position.
Sites, in units of the cell vectors:
Ce1 0.1683 0.2597 0.4036  1 Ce 2.71
Ce2 0.8317 0.7403 0.5964  1 Ce 2.71
Pb1 0.5777 0.6393 0.2054  3 Ho 3.22-3.48, 5 Ce 3.25-3.39
Pb2 0.4223 0.3607 0.7946  3 Ho 3.22-3.48, 5 Ce 3.25-3.39
Ho1 0.0000 0.0000 0.0000  6 Pb 3.22-3.48



[3]
DFT (PBE) results for a relaxed Ce5HoPb6 crystal.

Values from the calculation:
- ρ: 8.88 g cm⁻³
- Calculated volume: 394.5 Å³ per cell
- Spin magnetization: 0.07 μB per atom
- E: -5.01 eV per atom
- Space-group type: C2/m, No. 12

abc: 7.8491 7.8439 7.8477
angles: 60.02 80.41 70.52
Closest atoms and distances in Å follow each position.
Sites, in units of the cell vectors:
Ce1 0.5000 0.1668 0.6664  6 Pb 3.20-3.21
Ce2 0.5000 0.8332 0.3336  6 Pb 3.20-3.21
Ce3 0.5000 0.5000 0.0000  6 Pb 3.20-3.21
Ce4 0.0000 0.6664 0.6672  6 Pb 3.20
Ce5 0.0000 0.3336 0.3328  6 Pb 3.20
Pb1 0.2493 0.5836 0.3335  1 Ho 3.20, 5 Ce 3.20-3.21
Pb2 0.7507 0.0829 0.3335  1 Ho 3.20, 5 Ce 3.20-3.21
Pb3 0.7507 0.4164 0.6665  1 Ho 3.20, 5 Ce 3.20-3.21
Pb4 0.7498 0.7502 0.0000  5 Ce 3.20, 1 Ho 3.20
Pb5 0.2493 0.9171 0.6665  1 Ho 3.20, 5 Ce 3.20-3.21
Pb6 0.2502 0.2498 0.0000  5 Ce 3.20, 1 Ho 3.20
Ho1 0.0000 0.0000 0.0000  6 Pb 3.20